Pt3Rh2W2 PBE-GGA relaxed; SG = Cmmm; N(E_F) = 0.883 states/eV/atom; total DFT energy (no corrections) = -0.6243 Ry per atom
1.0
2.7426 0.0000 -0.3631
0.0000 2.7849 0.0000
3.2811 0.0000 14.2847
Pt Rh W
3 2 2
Direct
0.2926 0.0000 0.4170 Pt
0.0000 0.0000 0.0000 Pt
0.7074 0.0000 0.5830 Pt
0.4201 0.0000 0.1601 Rh
0.5799 0.0000 0.8399 Rh
0.1412 0.5000 0.7167 W
0.8588 0.5000 0.2833 W

LiHRh PBE-GGA relaxed; SG = C2/m; N(E_F) = 0.344 states/eV/atom; total DFT energy (no corrections) = -0.3311 Ry per atom
1.0
-1.7187 -0.2640 4.5248
1.2568 -2.5186 0.3304
7.6823 4.0129 1.3680
Li H Rh
4 4 4
Direct
0.0000 0.5000 0.0000 Li
0.0000 0.0000 0.5000 Li
0.5000 0.5000 0.5000 Li
0.5000 0.0000 0.0000 Li
0.3841 0.0000 0.6604 H
0.6159 0.0000 0.3396 H
0.3841 0.5000 0.1604 H
0.6159 0.5000 0.8396 H
0.2355 0.0000 0.2479 Rh
0.7645 0.0000 0.7521 Rh
0.2355 0.5000 0.7479 Rh
0.7645 0.5000 0.2521 Rh

LaNd8Sm2 PBE-GGA relaxed; SG = C2/m; N(E_F) = 1.503 states/eV/atom; total DFT energy (no corrections) = -0.3403 Ry per atom
1.0
5.9988 -1.4847 -1.0371
-0.0501 9.4953 2.2285
-0.0501 5.3601 8.1484
La Nd Sm
1 8 2
Direct
0.0000 0.0000 0.0000 La
0.3363 0.1057 0.6564 Nd
0.3363 0.6564 0.1057 Nd
0.6637 0.8943 0.3436 Nd
0.2553 0.5282 0.5282 Nd
0.6637 0.3436 0.8943 Nd
0.2672 0.2058 0.2058 Nd
0.7328 0.7942 0.7942 Nd
0.7447 0.4718 0.4718 Nd
0.8500 0.3028 0.3028 Sm
0.1500 0.6972 0.6972 Sm

HfAlIn2C PBE-GGA relaxed; SG = P4/mmm; N(E_F) = 0.834 states/eV/atom; total DFT energy (no corrections) = -0.2799 Ry per atom
1.0
4.9752 0.0000 0.0000
0.0000 5.1663 0.0000
0.0000 0.0000 4.9752
C Hf Al In
1 1 1 2
Direct
0.5000 0.5000 0.5000 C
0.0000 0.5000 0.0000 Hf
0.0000 0.0000 0.0000 Al
0.0000 0.0000 0.5000 In
0.5000 0.0000 0.0000 In